i) Material: Ba6HgAu2
Method: DFT, PBE-GGA
State: relaxed

Summary:
DOS(E_F) ... 16.46 states/eV/cell
Crystal system ... monoclinic

Lattice parameters (Å, degrees): 15.2066 6.4022 10.7746 90.00 117.23 90.00
Closest atoms and distances in Å follow each position.
Space group C2/m (No. 12)
Asymmetric unit:
Ba: 0.0132 0.0000 0.2043  1 Hg 3.28, 2 Au 3.29-3.31
Ba: 0.1479 0.5000 0.5643  1 Au 3.31
Ba: 0.1938 0.5000 0.0952  3 Au 3.21-3.37
Hg: 0.0000 0.0000 0.5000  2 Ba 3.28
Au: 0.1866 0.0000 0.1025  6 Ba 3.21-3.37

ii) Material: Ba6HgAu2
Method: DFT, PBE-GGA
State: relaxed

Summary:
DOS(E_F) ... 42.47 states/eV/cell
Crystal system ... orthorhombic

Lattice parameters (Å, degrees): 10.9530 11.6783 12.0846 90.00 90.00 90.00
Closest atoms and distances in Å follow each position.
Space group Immm (No. 71)
Asymmetric unit:
Ba: 0.0000 0.1863 0.2454  1 Au 3.39, 2 Hg 3.68-3.77
Ba: 0.1878 0.5000 0.1649  3 Au 3.30-3.50
Ba: 0.2247 0.3284 0.5000  3 Au 3.50-3.52, 1 Hg 3.62
Hg: 0.0000 0.0000 0.0000  8 Ba 3.62-3.68, 2 Au 3.83
Hg: 0.0000 0.0000 0.5000  8 Ba 3.77-3.96
Au: 0.0000 0.3278 0.0000  8 Ba 3.39-3.52
Au: 0.0000 0.5000 0.3780  1 Au 2.95, 2 Ba 3.30

What should be chosen as the most stable of them? Choose ii).

i) Material: Ba3Hg2Au
Method: DFT, PBE-GGA
State: relaxed

Summary:
DOS(E_F) ... 5.06 states/eV/cell
Crystal system ... tetragonal

Lattice parameters (Å, degrees): 4.1202 4.1202 12.6273 90.00 90.00 90.00
Closest atoms and distances in Å follow each position.
Space group P4/mmm (No. 123)
Asymmetric unit:
Ba: 0.0000 0.0000 0.0000  8 Hg 3.61
Ba: 0.0000 0.0000 0.3432  4 Au 3.52, 4 Hg 3.65
Hg: 0.5000 0.5000 0.1686  8 Ba 3.61-3.65
Au: 0.5000 0.5000 0.5000  8 Ba 3.52

ii) Material: Ba3Hg2Au
Method: DFT, PBE-GGA
State: relaxed

Summary:
DOS(E_F) ... 24.28 states/eV/cell
Crystal system ... orthorhombic

Lattice parameters (Å, degrees): 5.8856 17.6665 8.2517 90.00 90.00 90.00
Closest atoms and distances in Å follow each position.
Space group Cmmm (No. 65)
Asymmetric unit:
Ba: 0.0000 0.0000 0.2451  2 Au 3.50, 6 Hg 3.57-3.62
Ba: 0.0000 0.3301 0.2402  3 Au 3.55-3.57, 5 Hg 3.59-3.69, 1 Ba 3.96
Hg: 0.0000 0.1669 0.5000  8 Ba 3.59-3.64
Hg: 0.0000 0.5000 0.0000  8 Ba 3.57-3.60
Hg: 0.0000 0.5000 0.5000  8 Ba 3.62-3.69
Au: 0.0000 0.1617 0.0000  8 Ba 3.50-3.57

What should be chosen as the most stable of them? Choose i).